1.
A plane-wave DFT calculation with GGA-PBE was carried out for an optimized crystal structure of MgMoRh2.

a b c (Å): 8.8566 8.8566 8.8566
angles (deg): 18.52 18.52 18.52
With the nearest neighbours (Å) after each atom.
Fractional coordinates of all 4 atoms:
Mg 0.2500 0.2500 0.2500  6 Rh 2.77, 6 Mg 2.85
Mo 0.7500 0.7500 0.7500  6 Rh 2.69, 6 Mo 2.85
Rh 0.0019 0.0019 0.0019  3 Mo 2.69, 3 Mg 2.77, 6 Rh 2.85
Rh 0.4981 0.4981 0.4981  3 Mo 2.69, 3 Mg 2.77, 6 Rh 2.85

Results
The value obtained for the energy relative to the elements is -0.1652 eV/atom. For the final energy, the calculation gives -6.95 eV per atom.

2.
A plane-wave DFT calculation with GGA-PBE was carried out for an optimized crystal structure of LaPm2Sn3.

a b c (Å): 5.0147 9.1660 9.1660
angles (deg): 110.95 105.87 105.87
With the nearest neighbours (Å) after each atom.
Fractional coordinates of all 12 atoms:
La 0.2500 0.5829 0.4171  8 Sn 3.40-3.44, 2 La 3.54, 2 Pm 3.56
La 0.7500 0.4171 0.5829  8 Sn 3.40-3.44, 2 La 3.54, 2 Pm 3.56
Pm 0.2500 0.9167 0.0833  8 Sn 3.36-3.39, 4 Pm 3.55
Pm 0.2500 0.2497 0.7503  8 Sn 3.34-3.40, 2 Pm 3.55, 2 La 3.56
Pm 0.7500 0.0833 0.9167  8 Sn 3.36-3.39, 4 Pm 3.55
Pm 0.7500 0.7503 0.2497  8 Sn 3.34-3.40, 2 Pm 3.55, 2 La 3.56
Sn 0.9957 0.1601 0.3310  5 Pm 3.34-3.40, 3 La 3.41-3.44, 4 Sn 3.53-3.60
Sn 0.4957 0.3310 0.1601  5 Pm 3.34-3.40, 3 La 3.41-3.44, 4 Sn 3.53-3.60
Sn 0.0000 0.5000 0.0000  6 Pm 3.39, 2 La 3.40, 4 Sn 3.53
Sn 0.0043 0.8399 0.6690  5 Pm 3.34-3.40, 3 La 3.41-3.44, 4 Sn 3.53-3.60
Sn 0.5000 0.0000 0.5000  6 Pm 3.39, 2 La 3.40, 4 Sn 3.53
Sn 0.5043 0.6690 0.8399  5 Pm 3.34-3.40, 3 La 3.41-3.44, 4 Sn 3.53-3.60

Results
The value obtained for the energy relative to the elements is -0.6911 eV/atom. For the final energy, the calculation gives -5.10 eV per atom.

3.
A plane-wave DFT calculation with GGA-PBE was carried out for an optimized crystal structure of LiAu2.

a b c (Å): 6.4826 6.4826 4.0927
angles (deg): 90.00 90.00 144.47
With the nearest neighbours (Å) after each atom.
Fractional coordinates of all 6 atoms:
Au 0.9676 0.0324 0.0000  4 Li 2.75-2.88, 8 Au 2.85-2.95
Au 0.6453 0.3547 0.0000  6 Au 2.79-2.95, 6 Li 2.85-2.86
Au 0.4769 0.5231 0.5000  4 Li 2.75-2.88, 8 Au 2.85-2.95
Au 0.7991 0.2009 0.5000  6 Au 2.79-2.95, 6 Li 2.85-2.86
Li 0.3123 0.6877 0.0000  10 Au 2.75-2.88, 2 Li 3.02
Li 0.1322 0.8678 0.5000  10 Au 2.75-2.88, 2 Li 3.02

Results
The value obtained for the energy relative to the elements is -0.4200 eV/atom. For the final energy, the calculation gives -3.24 eV per atom.

4.
A plane-wave DFT calculation with GGA-PBE was carried out for an optimized crystal structure of NdZr2Zn.

a b c (Å): 4.5299 4.5107 4.5107
angles (deg): 90.00 90.00 90.00
With the nearest neighbours (Å) after each atom.
Fractional coordinates of all 4 atoms:
Zn 0.5000 0.5000 0.5000  4 Nd 3.19, 8 Zr 3.20
Nd 0.5000 0.0000 0.0000  4 Zn 3.19, 8 Zr 3.20
Zr 0.0000 0.0000 0.5000  4 Zr 3.19, 4 Nd 3.20, 4 Zn 3.20
Zr 0.0000 0.5000 0.0000  4 Zr 3.19, 4 Zn 3.20, 4 Nd 3.20

Results
The value obtained for the energy relative to the elements is 0.0278 eV/atom. For the final energy, the calculation gives -5.76 eV per atom. The distance to the lowest polymorph of the same formula comes out at 46 meV/atom.

5.
A plane-wave DFT calculation with GGA-PBE was carried out for an optimized crystal structure of Pm2SmDy3.

a b c (Å): 6.4164 8.1409 8.1409
angles (deg): 71.52 90.00 90.00
With the nearest neighbours (Å) after each atom.
Fractional coordinates of all 12 atoms:
Pm 0.5669 0.7413 0.3782  4 Dy 3.36-3.51, 3 Pm 3.45-3.58
Pm 0.0669 0.6218 0.2587  4 Dy 3.36-3.51, 3 Pm 3.45-3.58
Pm 0.5669 0.3782 0.7413  4 Dy 3.36-3.51, 3 Pm 3.45-3.58
Pm 0.0669 0.2587 0.6218  4 Dy 3.36-3.51, 3 Pm 3.45-3.58
Sm 0.7919 0.8245 0.8245  6 Dy 3.18-3.41
Sm 0.2919 0.1755 0.1755  6 Dy 3.18-3.41
Dy 0.1076 0.8768 0.5108  2 Sm 3.18-3.25, 3 Pm 3.36-3.51, 1 Dy 3.48
Dy 0.6076 0.4892 0.1232  2 Sm 3.18-3.25, 3 Pm 3.36-3.51, 1 Dy 3.48
Dy 0.1076 0.5108 0.8768  2 Sm 3.18-3.25, 3 Pm 3.36-3.51, 1 Dy 3.48
Dy 0.6076 0.1232 0.4892  2 Sm 3.18-3.25, 3 Pm 3.36-3.51, 1 Dy 3.48
Dy 0.3171 0.9176 0.9176  3 Sm 3.28-3.59, 2 Pm 3.44
Dy 0.8171 0.0824 0.0824  3 Sm 3.28-3.59, 2 Pm 3.44

Results
The value obtained for the energy relative to the elements is 0.2149 eV/atom. For the final energy, the calculation gives -4.46 eV per atom. The distance to the lowest polymorph of the same formula comes out at 95 meV/atom.

6.
A plane-wave DFT calculation with GGA-PBE was carried out for an optimized crystal structure of Pm4Rh2O.

a b c (Å): 6.7384 6.9532 7.7841
angles (deg): 90.00 106.43 90.00
With the nearest neighbours (Å) after each atom.
Fractional coordinates of all 14 atoms:
Pm 0.4926 0.5057 0.2525  1 O 2.26
Pm 0.0553 0.7500 0.9006  1 O 2.30
Pm 0.9447 0.2500 0.0994  1 O 2.30
Pm 0.4926 0.9943 0.2525  1 O 2.26
Pm 0.9569 0.2500 0.6265  1 O 2.31
Pm 0.5074 0.0057 0.7475  1 O 2.26
Pm 0.5074 0.4943 0.7475  1 O 2.26
Pm 0.0431 0.7500 0.3735  1 O 2.31
Rh 0.7241 0.7500 0.0506  6 Pm 2.80-3.03
Rh 0.2759 0.2500 0.9494  6 Pm 2.80-3.03
Rh 0.2691 0.2500 0.4369  6 Pm 2.89-3.02
Rh 0.7309 0.7500 0.5631  6 Pm 2.89-3.02
O 0.2618 0.7500 0.1925  4 Pm 2.26-2.31
O 0.7382 0.2500 0.8075  4 Pm 2.26-2.31

Results
The uncorrected formation energy is -1.191 eV/atom. For the final energy, the calculation gives -6.71 eV per atom. The distance to the lowest polymorph of the same formula comes out at 0 meV/atom.

7.
A plane-wave DFT calculation with GGA-PBE was carried out for an optimized crystal structure of LaPt3.

a b c (Å): 3.6649 3.6649 5.8781
angles (deg): 90.00 90.00 90.03
With the nearest neighbours (Å) after each atom.
Fractional coordinates of all 4 atoms:
La 0.0000 0.0000 0.0000  10 Pt 2.94-3.04
Pt 0.0000 0.0000 0.5000  8 Pt 2.92, 2 La 2.94
Pt 0.5000 0.5000 0.2701  5 Pt 2.70-2.92
Pt 0.5000 0.5000 0.7299  5 Pt 2.70-2.92

Results
The value obtained for the energy relative to the elements is -0.5478 eV/atom. For the final energy, the calculation gives -6.31 eV per atom.

8.
A plane-wave DFT calculation with GGA-PBE was carried out for an optimized crystal structure of Ac8PmSm2.

a b c (Å): 5.9958 9.1118 10.1758
angles (deg): 116.60 107.13 90.00
With the nearest neighbours (Å) after each atom.
Fractional coordinates of all 11 atoms:
Ac 0.6423 0.8499 0.2846  1 Pm 3.62, 3 Sm 3.68-3.81, 6 Ac 3.78-4.02
Ac 0.3577 0.5653 0.7154  1 Pm 3.62, 3 Sm 3.68-3.81, 6 Ac 3.78-4.02
Ac 0.1596 0.1596 0.3192  8 Ac 3.85-4.02, 2 Sm 3.85, 2 Pm 4.06
Ac 0.0000 0.2962 0.0000  7 Ac 3.71-3.87, 2 Sm 3.90, 2 Pm 4.03
Ac 0.8404 0.8404 0.6808  8 Ac 3.85-4.02, 2 Sm 3.85, 2 Pm 4.06
Ac 0.6423 0.4347 0.2846  1 Pm 3.62, 3 Sm 3.68-3.81, 6 Ac 3.78-4.02
Ac 0.3577 0.1501 0.7154  1 Pm 3.62, 3 Sm 3.68-3.81, 6 Ac 3.78-4.02
Ac 0.0000 0.7038 0.0000  7 Ac 3.71-3.87, 2 Sm 3.90, 2 Pm 4.03
Pm 0.5000 0.0000 0.0000  8 Ac 3.62-4.03
Sm 0.1995 0.6995 0.3990  10 Ac 3.68-3.90
Sm 0.8005 0.3005 0.6010  10 Ac 3.68-3.90

Results
The value obtained for the energy relative to the elements is 0.1181 eV/atom. For the final energy, the calculation gives -4.16 eV per atom.

Fermi-level density of states list, top to bottom, in states/eV/f.u.: 5.23, 5.38, 0.53, 3.43, 9.41, 4.19, 3.72, 18.66